Ce2DyGe after structural relaxation, computed with PBE-GGA.

Cell: 5.040 4.391 4.391 Å, 90.00 90.00 90.00°
Each line ends with the local moment (μB).
Sites, in units of the cell vectors:
Ce: 0.000 0.000 0.500  0.21
Ce: 0.000 0.500 0.000  0.21
Dy: 0.500 0.500 0.500  0.03
Ge: 0.500 0.000 0.000  -0.01

Output
Density of states at the Fermi level: 9.37 states/eV/f.u.
Mass density: 8.8 g/cm³
Energy relative to the elements: -377 meV/atom
Calculated total energy: -5.65 eV/atom
Offset from the most stable computed form: 87 meV/atom